ScRu after structural relaxation. Source: Alexandria via LeMat-Bulk, functional PBE-GGA.

Lattice parameters (Å, degrees): 2.9872 4.3387 5.3050 90.00 90.00 90.00
Element x y z (fractional)
Sc1 0.2500 0.2500 0.1632
Sc2 0.7500 0.7500 0.8368
Ru1 0.2500 0.2500 0.6455
Ru2 0.7500 0.7500 0.3545

Calculated values
SG: Pmmn
Energy relative to the elements (meV/atom): -181